The following is a PBE calculation of Dy2GeRu after structural relaxation, from Alexandria via LeMat-Bulk.

Values from the calculation:
* density: 9.3 g cm⁻³
* magnetic moment: 0.000 μB per cell
* calculated total energy: -25.62 eV/cell
* calculated formation energy: -0.63 eV per atom

Unit cell a=4.237 b=3.862 c=5.823 alpha=90.00 beta=111.34 gamma=90.00
Atoms (fractional coordinates):
Dy 0.093 0.000 0.187
Ge 0.517 0.500 0.034
Dy 0.812 0.500 0.624
Ru 0.363 0.000 0.725